[1]
Ac3LaH8: optimized geometry, PBE-GGA.

POSCAR file:
```
Ac3LaH8
1.0
5.8221 0.0000 0.0000
0.0000 5.8221 0.0000
0.0000 0.0000 5.8221
H Ac La
8 3 1
Cartesian
4.4052 1.4169 1.4169 H
4.4052 1.4169 4.4052 H
1.4169 4.4052 4.4052 H
1.4169 1.4169 4.4052 H
4.4052 4.4052 4.4052 H
1.4169 4.4052 1.4169 H
1.4169 1.4169 1.4169 H
4.4052 4.4052 1.4169 H
0.0000 2.9110 2.9110 Ac
2.9110 0.0000 2.9110 Ac
2.9110 2.9110 0.0000 Ac
0.0000 0.0000 0.0000 La
```

Results
- DOS at the Fermi energy: 2.52 states/eV per cell
- Calculated total energy: -0.315 Ry per atom


[2]
SiSb3Cl: optimized geometry, PBE-GGA.

POSCAR file:
```
SiSb3Cl
1.0
-1.4693 4.1057 2.9081
-5.0187 -0.9821 -1.1490
-0.3551 -3.1066 4.2065
Sb Si Cl
3 1 1
Cartesian
-0.7346 2.0528 1.4540 Sb
-2.5093 -0.4911 -0.5745 Sb
-0.1776 -1.5533 2.1033 Sb
0.0000 0.0000 0.0000 Si
-3.4215 0.0084 2.9828 Cl
```

Results
- DOS at the Fermi energy: 2.66 states/eV per cell
- ΔE to the lowest computed polymorph: 0.000 eV/atom
- Formation energy (no corrections): 499 meV per atom
- Calculated total energy: -0.252 Ry per atom